Here is a relaxed As5W crystal from Alexandria. Energies are from PBE-GGA.

Values from the calculation:
For the energy of formation from the pure elements, the calculation gives 1016 meV/atom. As for the crystal system: hexagonal. Its total magnetic moment is 1.6 μB/cell. As for the excess energy over the best structure of this formula in the dataset: 502 kJ/mol of formula units. The calculation puts the density of states at the Fermi level at 4.49 states/eV per cell. The energy is -30.1 eV per formula unit.

Lattice parameters (Å, degrees): 5.0630 5.0630 5.5152 90.00 90.00 120.00
Each line ends with the local moment (μB).
Positions (direct):
1 As 0.6667 0.3333 0.0000  -0.04
2 As 0.3333 0.6667 0.0000  -0.04
3 As 0.5000 0.0000 0.5000  -0.07
4 As 0.5000 0.5000 0.5000  -0.07
5 As 0.0000 0.5000 0.5000  -0.07
6 W 0.0000 0.0000 0.0000  1.56

Here is a relaxed As3W crystal from Alexandria. Energies are from PBE-GGA.

Values from the calculation:
For the energy of formation from the pure elements, the calculation gives 561 meV/atom. As for the crystal system: trigonal. Its total magnetic moment is 0.0 μB/cell. As for the excess energy over the best structure of this formula in the dataset: 180 kJ/mol of formula units. The calculation puts the density of states at the Fermi level at 2.94 states/eV per cell. The energy is -24.7 eV per formula unit.

Lattice parameters (Å, degrees): 4.8285 4.8285 4.8285 113.14 113.14 113.14
Positions (direct):
1 As 0.5000 0.0000 0.5000
2 As 0.0000 0.0000 0.0000
3 As 0.5000 0.5000 0.0000
4 W 0.0000 0.5000 0.5000

Here is a relaxed As3W crystal from Alexandria. Energies are from PBE-GGA.

Values from the calculation:
For the energy of formation from the pure elements, the calculation gives 765 meV/atom. As for the crystal system: hexagonal. Its total magnetic moment is 1.4 μB/cell. As for the excess energy over the best structure of this formula in the dataset: 259 kJ/mol of formula units. The calculation puts the density of states at the Fermi level at 13.51 states/eV per cell. The energy is -23.8 eV per formula unit.

Lattice parameters (Å, degrees): 5.7768 5.7768 9.8098 90.00 90.00 120.00
Each line ends with the local moment (μB).
Positions (direct):
1 As 0.0000 0.5000 0.5000  -0.01
2 As 0.8468 0.6936 0.2500  -0.01
3 As 0.6936 0.8468 0.7500  -0.01
4 As 0.5000 0.5000 0.0000  -0.01
5 As 0.1532 0.3064 0.7500  -0.01
6 As 0.0000 0.5000 0.0000  -0.01
7 As 0.8468 0.1532 0.2500  -0.01
8 As 0.3064 0.1532 0.2500  -0.01
9 As 0.5000 0.5000 0.5000  -0.01
10 As 0.5000 0.0000 0.5000  -0.01
11 As 0.5000 0.0000 0.0000  -0.01
12 As 0.1532 0.8468 0.7500  -0.01
13 W 0.6667 0.3333 0.7500  0.97
14 W 0.0000 0.0000 0.0000  -0.33
15 W 0.3333 0.6667 0.2500  0.97
16 W 0.0000 0.0000 0.5000  -0.33

Here is a relaxed AsW crystal from Alexandria. Energies are from PBE-GGA.

Values from the calculation:
For the energy of formation from the pure elements, the calculation gives 124 meV/atom. As for the crystal system: triclinic. Its total magnetic moment is 0.0 μB/cell. The calculation puts the density of states at the Fermi level at 1.62 states/eV per cell. The energy is -17.4 eV per formula unit.

Lattice parameters (Å, degrees): 4.7092 5.6387 5.6387 146.73 127.89 65.35
Positions (direct):
1 W 0.4538 0.5037 0.9470
2 W 0.2962 0.7463 0.5530
3 As 0.9630 0.0059 0.9575
4 As 0.7870 0.2441 0.5425